Density functional theory data (PBE) for Ce4Sb2AsN2 after structural relaxation.

The space group is C2/m (No. 12) and the conventional cell measures 15.482, 4.070 and 7.441 Å, with angles of 90.00, 112.21 and 90.00 degrees. The inequivalent atoms are Ce at (0.033, 0.000, 0.255), Ce at (0.213, 0.500, 0.659), Sb at (0.133, 0.500, 0.034), As at (0.000, 0.500, 0.500) and N at (0.177, 0.000, 0.481).

The calculated volume is 434 Å³/cell. The final energy comes out at -7.196 eV/atom.